1.
Material: MgMn2Cd
Method: DFT, SCAN
State: single point on PBEsol structure

Structure (POSCAR):
```
MgMn2Cd
1.0
2.845 0.000 0.000
0.000 2.845 0.000
0.000 0.000 7.340
Mg Mn Cd
1 2 1
Cartesian
0.000 0.000 0.000 Mg
0.000 0.000 2.994 Mn
1.423 1.423 1.876 Mn
1.423 1.423 4.972 Cd
```

total moment: 0.41 Bohr magnetons per cell
formation enthalpy at 0 K: 0.0663 eV per atom
space-group type: P4mm (99)

---

2.
Material: MgMnCd3
Method: DFT, SCAN
State: single point on PBEsol structure

Structure (POSCAR):
```
MgMnCd3
1.0
5.044 0.000 0.000
0.000 5.044 0.000
0.000 0.000 5.044
Mg Mn Cd
1 1 3
Cartesian
0.000 0.000 0.000 Mg
2.522 2.522 2.522 Mn
0.000 2.522 2.522 Cd
2.522 0.000 2.522 Cd
2.522 2.522 0.000 Cd
```

total moment: 3.84 Bohr magnetons per cell
formation enthalpy at 0 K: 0.4762 eV per atom
space-group type: Pm-3m (221)